The following is a DFT calculation (GGA-PBE) of a relaxed structure of CuAg2.

Unit cell a=6.3064 b=6.3064 c=6.3148 alpha=107.20 beta=107.20 gamma=37.10
Closest atoms and distances in Å follow each position.
Atoms (fractional coordinates):
Ag 0.8887 0.8887 0.3237  5 Cu 2.76-2.94, 7 Ag 2.79-2.87
Ag 0.5509 0.5509 0.3267  4 Cu 2.74-2.90, 8 Ag 2.79-3.01
Ag 0.2236 0.2236 0.3308  9 Ag 2.82-2.92, 3 Cu 2.87-2.89
Ag 0.1072 0.1072 0.6738  4 Cu 2.75-2.88, 8 Ag 2.78-2.94
Ag 0.7877 0.7877 0.6801  5 Cu 2.65-2.75, 6 Ag 2.84-2.94
Ag 0.6626 0.6626 0.9956  5 Cu 2.74-2.92, 7 Ag 2.78-2.85
Cu 0.4443 0.4443 0.6817  3 Cu 2.64-2.75, 9 Ag 2.74-2.94
Cu 0.3396 0.3396 0.9931  3 Cu 2.64-2.74, 9 Ag 2.74-2.92
Cu 0.9953 0.9953 0.9943  8 Ag 2.65-2.89, 4 Cu 2.74-2.75

Output
SG: Cm, No. 8
Relative energy among the computed polymorphs (kJ/mol of formula units): 14
Electronic total energy (eV per atom): -3.043
Calculated formation energy (meV per atom): 78.9